1.
# RbCo2HgB

A relaxed structure of RbCo2HgB (PBE, Alexandria via LeMat-Bulk).

Summary:
**V**: 113 Å³/f.u.
**Space group**: P4/mmm, No. 123
**Final energy**: -14.6 eV for the cell shown
**Calculated formation energy**: 1.52 eV per atom

Geometry as CIF:
```
data_RbCo2HgB
_space_group_name_H-M_alt 'P 1'
_space_group_IT_number 1
_space_group_name_Hall 'P 1'
_cell_length_a 5.166
_cell_length_b 5.166
_cell_length_c 4.225
_cell_angle_alpha 90.00
_cell_angle_beta 90.00
_cell_angle_gamma 90.00
loop_
_atom_site_label
_atom_site_type_symbol
_atom_site_fract_x
_atom_site_fract_y
_atom_site_fract_z
_atom_site_occupancy
Rb1 Rb 0.000 0.000 0.000 1
Co1 Co 0.000 0.500 0.500 1
Co2 Co 0.500 0.000 0.500 1
Hg1 Hg 0.500 0.500 0.500 1
B1 B 0.500 0.500 0.000 1
```


2.
# Co2HgBSb

A relaxed structure of Co2HgBSb (PBE, Alexandria via LeMat-Bulk).

Summary:
**V**: 78 Å³/f.u.
**Space group**: P4/mmm, No. 123
**Final energy**: -22.3 eV for the cell shown
**Formation energy without anion corrections**: 597.9 meV per atom

Geometry as CIF:
```
data_Co2HgBSb
_space_group_name_H-M_alt 'P 1'
_space_group_IT_number 1
_space_group_name_Hall 'P 1'
_cell_length_a 4.077
_cell_length_b 4.077
_cell_length_c 4.712
_cell_angle_alpha 90.00
_cell_angle_beta 90.00
_cell_angle_gamma 90.00
loop_
_atom_site_label
_atom_site_type_symbol
_atom_site_fract_x
_atom_site_fract_y
_atom_site_fract_z
_atom_site_occupancy
Co1 Co 0.000 0.500 0.000 1
Co2 Co 0.500 0.000 0.000 1
Hg1 Hg 0.000 0.000 0.500 1
B1 B 0.500 0.500 0.000 1
Sb1 Sb 0.500 0.500 0.500 1
```


3.
# Sc2CoHgB

A relaxed structure of Sc2CoHgB (PBE, Alexandria via LeMat-Bulk).

Summary:
**V**: 85 Å³/f.u.
**Space group**: P4/mmm, No. 123
**Final energy**: -28.5 eV for the cell shown
**Calculated formation energy**: -0.35 eV per atom

Geometry as CIF:
```
data_Sc2CoHgB
_space_group_name_H-M_alt 'P 1'
_space_group_IT_number 1
_space_group_name_Hall 'P 1'
_cell_length_a 4.735
_cell_length_b 4.735
_cell_length_c 3.770
_cell_angle_alpha 90.00
_cell_angle_beta 90.00
_cell_angle_gamma 90.00
loop_
_atom_site_label
_atom_site_type_symbol
_atom_site_fract_x
_atom_site_fract_y
_atom_site_fract_z
_atom_site_occupancy
Sc1 Sc 0.000 0.500 0.000 1
Sc2 Sc 0.500 0.000 0.000 1
Co1 Co 0.000 0.000 0.500 1
Hg1 Hg 0.500 0.500 0.500 1
B1 B 0.000 0.000 0.000 1
```


4.
# Y2CoHgB

A relaxed structure of Y2CoHgB (PBE, Alexandria via LeMat-Bulk).

Summary:
**V**: 100 Å³/f.u.
**Space group**: P4/mmm, No. 123
**Final energy**: -28.7 eV for the cell shown
**Calculated formation energy**: -0.33 eV per atom

Geometry as CIF:
```
data_Y2CoHgB
_space_group_name_H-M_alt 'P 1'
_space_group_IT_number 1
_space_group_name_Hall 'P 1'
_cell_length_a 5.131
_cell_length_b 5.131
_cell_length_c 3.804
_cell_angle_alpha 90.00
_cell_angle_beta 90.00
_cell_angle_gamma 90.00
loop_
_atom_site_label
_atom_site_type_symbol
_atom_site_fract_x
_atom_site_fract_y
_atom_site_fract_z
_atom_site_occupancy
Y1 Y 0.000 0.500 0.000 1
Y2 Y 0.500 0.000 0.000 1
Co1 Co 0.000 0.000 0.500 1
Hg1 Hg 0.500 0.500 0.500 1
B1 B 0.000 0.000 0.000 1
```


5.
# HoCo2B2

A relaxed structure of HoCo2B2 (PBE, Alexandria via LeMat-Bulk).

Summary:
**V**: 58 Å³/f.u.
**Space group**: I4/mmm, No. 139
**Final energy**: -35.0 eV for the cell shown
**Calculated formation energy**: -0.57 eV per atom

Geometry as CIF:
```
data_HoCo2B2
_space_group_name_H-M_alt 'P 1'
_space_group_IT_number 1
_space_group_name_Hall 'P 1'
_cell_length_a 5.285
_cell_length_b 5.285
_cell_length_c 5.285
_cell_angle_alpha 140.87
_cell_angle_beta 140.87
_cell_angle_gamma 56.53
loop_
_atom_site_label
_atom_site_type_symbol
_atom_site_fract_x
_atom_site_fract_y
_atom_site_fract_z
_atom_site_occupancy
Ho1 Ho 0.000 0.000 0.000 1
Co1 Co 0.250 0.750 0.500 1
Co2 Co 0.750 0.250 0.500 1
B1 B 0.352 0.352 0.000 1
B2 B 0.648 0.648 0.000 1
```


6.
# HoCoB

A relaxed structure of HoCoB (PBE, Alexandria via LeMat-Bulk).

Summary:
**V**: 46 Å³/f.u.
**Space group**: P4/nmm, No. 129
**Polymorph energy (0 for the lowest one)**: 0.000 eV/atom
**Final energy**: -39.7 eV for the cell shown
**Calculated formation energy**: -0.49 eV per atom

Geometry as CIF:
```
data_HoCoB
_space_group_name_H-M_alt 'P 1'
_space_group_IT_number 1
_space_group_name_Hall 'P 1'
_cell_length_a 3.528
_cell_length_b 3.528
_cell_length_c 7.456
_cell_angle_alpha 90.00
_cell_angle_beta 90.00
_cell_angle_gamma 90.00
loop_
_atom_site_label
_atom_site_type_symbol
_atom_site_fract_x
_atom_site_fract_y
_atom_site_fract_z
_atom_site_occupancy
Ho1 Ho 0.250 0.250 0.197 1
Ho2 Ho 0.750 0.750 0.803 1
Co1 Co 0.250 0.750 0.500 1
Co2 Co 0.750 0.250 0.500 1
B1 B 0.250 0.250 0.632 1
B2 B 0.750 0.750 0.368 1
```